VASP calculation (PBE) on crystalline HfHg at its relaxed geometry.

Calculated values
ΔH_f (0 K) ... 0.718 eV/f.u.
D(E_F) ... 2.04 states/eV/f.u.
Total magnetization ... 1.67 μB per cell

a b c (Å): 5.6641 5.6641 5.8583
angles (deg): 90.00 90.00 90.00
Space group P4_2/mnm (No. 136)
One atom of each set of equivalent atoms:
Hf  0.1899  0.1899  0.0000
Hg  0.1900  0.1900  0.5000